PdClO, optimized geometry, DFT PBE; space-group type = Cm; calculated density = 4.434 g/cm³
1.0
6.7488 0.0000 0.0149
0.0000 3.1544 0.0000
-4.5170 0.0000 11.0999
O Pd Cl
4 4 4
Direct
0.2629 0.0000 0.2486
0.9295 0.5000 0.0889
0.2629 0.5000 0.7486
0.9295 0.0000 0.5889
0.3787 0.5000 0.1837
0.3787 0.0000 0.6837
0.9414 0.5000 0.6966
0.9414 0.0000 0.1966
0.9547 0.5000 0.3491
0.9547 0.0000 0.8491
0.5458 0.5000 0.6021
0.5458 0.0000 0.1021


Pd2Cl2O, optimized geometry, DFT PBE; space-group type = I4_1/amd; calculated density = 4.718 g/cm³
1.0
-0.7865 6.1260 2.8487
2.3372 -1.8425 6.1159
3.4725 -1.0013 -5.7621
Pd Cl O
4 4 2
Direct
0.3750 0.1250 0.2500
0.8750 0.1250 0.2500
0.8750 0.6250 0.7500
0.8750 0.1250 0.7500
0.2944 0.2944 0.0000
0.0444 0.5444 0.5000
0.7056 0.7056 0.0000
0.4556 0.9556 0.5000
0.7500 0.2500 0.5000
0.0000 0.0000 0.0000


PdClO, optimized geometry, DFT PBE; space-group type = P-1; calculated density = 4.533 g/cm³
1.0
-2.8012 -0.3587 1.4471
3.5289 -3.4854 2.4840
2.7469 5.6394 3.2830
Cl Pd O
2 2 2
Direct
0.7519 0.7988 0.2007
0.2481 0.2012 0.7993
0.3434 0.7441 0.4419
0.6566 0.2559 0.5581
0.1046 0.3247 0.3831
0.8954 0.6753 0.6169


PdClO2, optimized geometry, DFT PBE; space-group type = R-3m; calculated density = 4.865 g/cm³
1.0
1.8636 0.0000 6.5778
-0.9318 1.6139 6.5778
-0.9318 -1.6139 6.5778
O Cl Pd
2 1 1
Direct
0.0950 0.0950 0.0950
0.9050 0.9050 0.9050
0.5000 0.5000 0.5000
0.0000 0.0000 0.0000


PdClO2, optimized geometry, DFT PBE; space-group type = I-42d; calculated density = 4.481 g/cm³
1.0
-5.6170 1.7508 -1.2558
-1.4002 -5.6313 -1.5878
-4.4777 -2.6446 1.9309
Pd O Cl
2 4 2
Direct
0.7500 0.2500 0.5000
0.0000 0.0000 0.0000
0.3750 0.2695 0.7500
0.0195 0.6250 0.2500
0.8750 0.9805 0.7500
0.7305 0.1250 0.2500
0.2500 0.7500 0.5000
0.5000 0.5000 0.0000


Pd2ClO, optimized geometry, DFT PBE; space-group type = Fm-3m; polymorph energy (0 for the lowest one) = 439 meV per atom; calculated density = 8.019 g/cm³
1.0
0.0000 3.0134 3.0134
3.0134 0.0000 3.0134
3.0134 3.0134 0.0000
O Pd Cl
1 2 1
Direct
0.0000 0.0000 0.0000
0.7500 0.7500 0.7500
0.2500 0.2500 0.2500
0.5000 0.5000 0.5000


PdClO2, optimized geometry, DFT PBE; space-group type = Fm-3m; calculated density = 6.248 g/cm³
1.0
3.6059 0.4071 1.7484
1.1615 3.5906 1.4084
0.2539 0.6192 3.9721
Cl O Pd
1 2 1
Direct
0.0000 0.0000 0.0000
0.2500 0.2500 0.2500
0.7500 0.7500 0.7500
0.5000 0.5000 0.5000


Pd2ClO, optimized geometry, DFT PBE; space-group type = I-42d; polymorph energy (0 for the lowest one) = 0 meV per atom; calculated density = 5.918 g/cm³
1.0
-1.2712 2.4445 4.0903
-4.3968 1.0302 -1.9821
-5.1054 -3.4037 3.4206
Pd Cl O
4 2 2
Direct
0.3750 0.5118 0.7500
0.8750 0.7382 0.7500
0.2618 0.6250 0.2500
0.4882 0.1250 0.2500
0.7500 0.2500 0.5000
0.0000 0.0000 0.0000
0.2500 0.7500 0.5000
0.5000 0.5000 0.0000


PdClO, optimized geometry, DFT PBE; space-group type = Pmn2_1; calculated density = 4.119 g/cm³
1.0
-1.4349 -2.8666 0.0746
6.8041 -3.4007 0.2006
-0.0687 0.1700 5.2135
Cl O Pd
2 2 2
Direct
0.5000 0.3233 0.3825
0.0000 0.6767 0.8825
0.0000 0.9505 0.2816
0.5000 0.0495 0.7816
0.0000 0.1370 0.5794
0.5000 0.8630 0.0794


PdClO, optimized geometry, DFT PBE; space-group type = Pm; calculated density = 4.788 g/cm³
1.0
6.1275 0.0000 -0.0001
0.0000 3.1439 0.0000
-2.3771 0.0000 5.6843
Cl O Pd
2 2 2
Direct
0.1778 0.5000 0.5301
0.6694 0.0000 0.1981
0.7501 0.5000 0.6795
0.1298 0.0000 0.9743
0.3592 0.5000 0.0785
0.9266 0.0000 0.6232


Rb2PdClO, optimized geometry, DFT PBE; space-group type = P4/mmm; calculated density = 3.970 g/cm³
1.0
5.9493 0.0000 0.0000
0.0000 5.9493 0.0000
0.0000 0.0000 3.8860
Cl Rb O Pd
1 2 1 1
Direct
0.5000 0.5000 0.5000
0.0000 0.5000 0.0000
0.5000 0.0000 0.0000
0.0000 0.0000 0.0000
0.0000 0.0000 0.5000


PdRh2ClO, optimized geometry, DFT PBE; space-group type = P4/mmm; calculated density = 6.820 g/cm³
1.0
4.4263 0.0000 0.0000
0.0000 4.5197 0.0000
0.0000 0.0000 4.4263
Cl Pd Rh O
1 1 2 1
Direct
0.0000 0.0000 0.0000
0.0000 0.5000 0.0000
0.5000 0.0000 0.0000
0.0000 0.0000 0.5000
0.5000 0.5000 0.5000


PdS2ClO, optimized geometry, DFT PBE; space-group type = P4/mmm; polymorph energy (0 for the lowest one) = 171 meV per atom; calculated density = 3.499 g/cm³
1.0
-3.3020 -2.4714 -2.1938
3.2947 -2.7024 -1.9147
-0.2646 -2.9972 3.7749
O S Pd Cl
1 2 1 1
Direct
0.5000 0.5000 0.5000
0.0000 0.5000 0.0000
0.5000 0.0000 0.0000
0.0000 0.0000 0.0000
0.0000 0.0000 0.5000


PdS2ClO, optimized geometry, DFT PBE; space-group type = P4/mmm; polymorph energy (0 for the lowest one) = 0 meV per atom; calculated density = 4.575 g/cm³
1.0
-1.0674 -3.9059 1.1328
-1.0439 -0.8688 -3.9792
4.2610 -1.3999 -0.8122
Cl S O Pd
1 2 1 1
Direct
0.0000 0.0000 0.5000
0.0000 0.5000 0.0000
0.5000 0.0000 0.0000
0.0000 0.0000 0.0000
0.5000 0.5000 0.5000


PdSClO4, optimized geometry, DFT PBE; space-group type = C2/m; calculated density = 3.398 g/cm³
1.0
-0.4907 -6.3189 -2.9099
4.8198 -3.0452 -4.0167
3.2825 -4.1380 3.5105
O Pd Cl S
8 2 2 2
Direct
0.5010 0.8629 0.8269
0.4831 0.4831 0.2355
0.4990 0.1371 0.1731
0.1371 0.4990 0.1731
0.3022 0.3022 0.5322
0.6978 0.6978 0.4678
0.8629 0.5010 0.8269
0.5169 0.5169 0.7645
0.1582 0.1582 0.8184
0.8418 0.8418 0.1816
0.0408 0.0408 0.2043
0.9592 0.9592 0.7957
0.6384 0.6384 0.7223
0.3616 0.3616 0.2777


Sb2PdClO, optimized geometry, DFT PBE; space-group type = P4/mmm; calculated density = 5.822 g/cm³
1.0
-3.8383 3.6550 1.4155
-2.3973 -2.8367 0.8241
1.8472 -0.0605 5.1652
Sb Pd Cl O
2 1 1 1
Direct
0.0000 0.0000 0.5000
0.5000 0.0000 0.0000
0.0000 0.0000 0.0000
0.5000 0.5000 0.5000
0.0000 0.5000 0.0000


Sr2PdCl2O2, optimized geometry, DFT PBE; space-group type = I4/mmm; calculated density = 4.724 g/cm³
1.0
-1.9033 -2.1854 2.9193
-1.8708 -2.2415 -2.8977
7.9664 -2.9691 0.0732
O Sr Cl Pd
2 2 2 1
Direct
0.0000 0.5000 0.0000
0.5000 0.0000 0.0000
0.3903 0.3903 0.7806
0.6097 0.6097 0.2194
0.1882 0.1882 0.3764
0.8118 0.8118 0.6236
0.0000 0.0000 0.0000


TiPdCl2O, optimized geometry, DFT PBE; space-group type = P4/mmm; calculated density = 4.464 g/cm³
1.0
4.9366 0.0000 0.0000
0.0000 3.6818 0.0000
0.0000 0.0000 4.9366
Cl Ti Pd O
2 1 1 1
Direct
0.5000 0.0000 0.0000
0.0000 0.0000 0.5000
0.0000 0.0000 0.0000
0.5000 0.5000 0.5000
0.0000 0.5000 0.0000


It is found that the E_tot values, taken in the order of the records, are -0.1547; -0.1553; -0.1550; -0.1299; -0.1399; -0.1429; -0.1181; -0.1590; -0.1548; -0.1536; -0.1440; -0.1522; -0.1093; -0.1156; -0.1900; -0.1439; -0.1876; -0.1994 hartree per atom.
It is found that the magnetic moment values, taken in the order of the records, are 0.0; 0.0; 0.0; 0.0; 0.0; 0.0; 0.0; 0.0; 0.0; 0.0; 0.5; 2.8; 0.7; 1.3; 1.0; 0.0; 0.2; 0.0 μB/f.u..
It is found that the energy relative to the elements, uncorrected values, taken in the order of the records, are -0.63; -2.10; -0.66; 2.81; 1.73; 1.64; 4.10; -0.12; -0.64; -0.55; -5.66; 6.00; 5.38; 4.52; -5.19; 0.66; -13.57; -5.39 eV per formula unit.